DFT (PBE) results for Ti6Bi2H after structural relaxation.

```
Ti6Bi2H
1.0
5.169 0.002 2.984
1.721 4.875 2.984
0.001 0.001 5.970
Ti Bi H
6 2 1
Cartesian
1.711 1.211 5.968
2.577 3.665 4.466
4.314 1.213 7.472
4.313 1.212 4.466
2.578 3.666 7.472
5.180 3.666 5.970
1.723 1.219 2.983
5.169 3.658 8.955
3.446 2.439 5.969
```

Results
V = 150.4 Å³ per cell
energy above the most stable polymorph in this dataset = 0 meV per atom

=====

DFT (PBE) results for CePrGa3 after structural relaxation.

```
CePrGa3
1.0
-1.590 1.260 -3.718
3.146 -2.131 -2.068
-9.123 -9.682 0.619
Ce Pr Ga
2 2 6
Cartesian
-3.270 -7.079 -2.207
-4.296 -3.473 -2.959
-1.492 -1.243 -0.989
-6.074 -9.309 -4.176
-6.157 -7.883 -1.245
-1.410 -2.669 -3.920
-7.588 -9.921 -1.324
0.022 -0.631 -3.842
-6.127 -6.079 -3.059
-1.440 -4.474 -2.107
```

Results
V = 240.7 Å³ per cell
energy = -4.556 eV/atom

=====

DFT (PBE) results for FeSiIrPd after structural relaxation.

```
FeSiIrPd
1.0
4.256 0.000 0.000
2.128 3.686 0.000
2.128 1.229 3.475
Si Ir Fe Pd
1 1 1 1
Cartesian
2.128 1.229 0.869
0.000 0.000 0.000
6.384 3.686 2.606
4.256 2.457 1.738
```

Results
V = 54.5 Å³ per cell
energy = -7.220 eV/atom

=====

Q: Look up the V of the second one.
A: 240.7 Å³ per cell